## HfCuC2O (GGA-PBE)

Data for an optimized crystal structure of HfCuC2O.

```
HfCuC2O
1.0
-2.598 -2.731 1.280
1.963 -0.249 3.454
-1.987 2.504 1.310
O Cu C Hf
1 1 2 1
Cartesian
0.000 0.000 0.000
-0.994 1.252 0.655
-1.299 -1.366 0.640
0.982 -0.125 1.727
-1.311 -0.238 3.022
```

Summary:
Symmetry: P4/mmm (123)

***

## HfTlCu2C (GGA-PBE)

Data for an optimized crystal structure of HfTlCu2C.

```
HfTlCu2C
1.0
5.186 0.000 0.000
0.000 4.127 0.000
0.000 0.000 5.186
Hf Tl C Cu
1 1 1 2
Cartesian
0.000 0.000 0.000
2.593 2.064 2.593
0.000 2.064 0.000
2.593 0.000 0.000
0.000 0.000 2.593
```

Summary:
Symmetry: P4/mmm (123)
Formation energy from the elements (eV per atom): 1.17

***

## HfZr2CuC (GGA-PBE)

Data for an optimized crystal structure of HfZr2CuC.

```
HfZr2CuC
1.0
5.264 0.000 0.000
0.000 3.473 0.000
0.000 0.000 5.264
Hf Zr C Cu
1 2 1 1
Cartesian
2.632 1.736 2.632
2.632 0.000 0.000
0.000 0.000 2.632
0.000 1.736 0.000
0.000 0.000 0.000
```

Summary:
Symmetry: P4/mmm (123)
Formation energy from the elements (eV per atom): 0.88

***

The calculation returns the following total DFT energy (no corrections) values, one per record and in order: -6.23; -4.78; -7.19 eV/atom.